# GGA-PBE Y6InRh2, relaxed
data_Y6InRh2
_chemical_formula_sum 'Y12 In2 Rh4'
_symmetry_space_group_name_H-M 'P 1'
_symmetry_Int_Tables_number 1
_symmetry_space_group_name_Hall 'P 1'
_cell_length_a 8.532
_cell_length_b 8.532
_cell_length_c 8.532
_cell_angle_alpha 112.79
_cell_angle_beta 110.88
_cell_angle_gamma 104.84
loop_
_atom_site_label
_atom_site_fract_x
_atom_site_fract_y
_atom_site_fract_z
Y1 0.037 0.238 0.798
Y2 0.182 0.287 0.469
Y3 0.182 0.713 0.895
Y4 0.328 0.021 0.693
Y5 0.328 0.635 0.307
Y6 0.440 0.238 0.202
Y7 0.560 0.762 0.798
Y8 0.672 0.365 0.693
Y9 0.672 0.979 0.307
Y10 0.818 0.287 0.105
Y11 0.818 0.713 0.531
Y12 0.963 0.762 0.202
In1 0.000 0.000 0.000
In2 0.500 0.500 0.000
Rh1 0.131 0.631 0.500
Rh2 0.334 0.000 0.334
Rh3 0.666 0.000 0.666
Rh4 0.869 0.369 0.500
# E_tot: -61.5 eV/f.u.
# energy of formation from the pure elements: -581 meV/atom